# 1
First-principles (PBE) data for Lu3GeN after structural relaxation, as listed in OQMD.

```
Lu3GeN
1.0
1.776 -6.002 0.000
1.776 6.002 0.000
0.000 0.000 9.105
Ge Lu N
2 6 2
Direct
0.745 0.255 0.250
0.255 0.745 0.750
0.375 0.625 0.051
0.052 0.948 0.250
0.375 0.625 0.449
0.625 0.375 0.551
0.948 0.052 0.750
0.625 0.375 0.949
0.000 0.000 0.000
0.000 0.000 0.500
```

Output
Crystal system: orthorhombic
Uncorrected energy (eV/atom): -6.385

# 2
First-principles (PBE) data for Lu2Nb4Ge3N3 after structural relaxation, as listed in OQMD.

```
Lu2Nb4Ge3N3
1.0
-1.533 5.299 -1.378
-2.509 3.300 3.892
10.297 7.205 4.640
Ge Lu N Nb
6 4 6 8
Direct
0.821 0.582 0.250
0.002 0.998 0.250
0.418 0.179 0.250
0.582 0.821 0.750
0.998 0.002 0.750
0.179 0.418 0.750
0.465 0.627 0.107
0.373 0.535 0.393
0.627 0.465 0.607
0.535 0.373 0.893
0.500 0.000 0.000
0.811 0.345 0.000
0.189 0.655 0.000
0.345 0.811 0.500
0.000 0.500 0.500
0.655 0.189 0.500
0.812 0.964 0.081
0.135 0.303 0.081
0.697 0.865 0.419
0.036 0.188 0.419
0.964 0.812 0.581
0.303 0.135 0.581
0.865 0.697 0.919
0.188 0.036 0.919
```

Output
Crystal system: monoclinic
Uncorrected energy (eV/atom): -8.229

# 3
First-principles (PBE) data for LuGeNO after structural relaxation, as listed in OQMD.

```
LuGeNO
1.0
-1.598 -2.767 0.000
0.000 0.000 5.890
-4.840 2.794 0.000
Ge Lu N O
2 2 2 2
Direct
0.500 0.034 0.108
0.500 0.534 0.892
0.000 0.549 0.381
0.000 0.049 0.619
0.000 0.906 0.241
0.000 0.406 0.759
0.500 0.265 0.389
0.500 0.765 0.611
```

Output
Crystal system: orthorhombic
Uncorrected energy (eV/atom): -7.115

# 4
First-principles (PBE) data for LuGeNO after structural relaxation, as listed in OQMD.

```
LuGeNO
1.0
-0.980 0.775 -6.161
-6.613 0.280 1.087
0.324 5.270 0.612
Ge Lu N O
4 4 4 4
Direct
0.885 0.333 0.472
0.385 0.667 0.472
0.615 0.333 0.972
0.115 0.667 0.972
0.424 0.161 0.481
0.924 0.839 0.481
0.076 0.161 0.981
0.576 0.839 0.981
0.416 0.128 0.066
0.916 0.872 0.066
0.084 0.128 0.566
0.584 0.872 0.566
0.057 0.444 0.183
0.557 0.556 0.183
0.443 0.444 0.683
0.943 0.556 0.683
```

Output
Crystal system: orthorhombic
Uncorrected energy (eV/atom): -7.048

# 5
First-principles (PBE) data for LuGeNO after structural relaxation, as listed in OQMD.

```
LuGeNO
1.0
3.977 0.000 0.000
0.000 3.977 0.000
0.000 0.000 7.033
Ge Lu N O
2 2 2 2
Direct
0.000 0.000 0.500
0.500 0.500 0.500
0.000 0.500 0.134
0.500 0.000 0.866
0.500 0.000 0.371
0.000 0.500 0.629
0.000 0.000 0.000
0.500 0.500 0.000
```

Output
Crystal system: tetragonal
Uncorrected energy (eV/atom): -6.744

# 6
First-principles (PBE) data for LuGeNO after structural relaxation, as listed in OQMD.

```
LuGeNO
1.0
-0.717 3.537 -0.267
-6.039 -1.099 1.662
1.332 0.670 5.284
Ge Lu N O
2 2 2 2
Direct
0.000 0.509 0.281
0.000 0.009 0.719
0.500 0.995 0.196
0.500 0.495 0.804
0.000 0.927 0.406
0.000 0.427 0.594
0.500 0.323 0.138
0.500 0.823 0.862
```

Output
Crystal system: orthorhombic
Uncorrected energy (eV/atom): -6.975

Record-wise V values, in Å³/f.u.: 97; 183; 53; 56; 56; 63